Entry 1:
A plane-wave DFT calculation with PBE was carried out for a relaxed structure of CaInSCl2.

a = 5.1166 Å, b = 5.1166 Å, c = 5.0385 Å
α = 90.00°, β = 90.00°, γ = 90.00°
Last column: nearest neighbours and their distance in Å.
Element x y z (fractional)
Ca 0.0000 0.0000 0.0000  8 Cl 3.59, 4 S 3.62
In 0.5000 0.5000 0.5000  2 S 2.52, 4 Cl 2.56
S 0.5000 0.5000 0.0000  2 In 2.52
Cl 0.0000 0.5000 0.5000  2 In 2.56
Cl 0.5000 0.0000 0.5000  2 In 2.56

Results
The formation energy (no corrections) is -0.93 eV/atom.

***

Entry 2:
A plane-wave DFT calculation with PBE was carried out for a relaxed structure of Li3AcCd2.

a = 7.7171 Å, b = 7.7171 Å, c = 10.1142 Å
α = 121.25°, β = 121.25°, γ = 34.89°
Last column: nearest neighbours and their distance in Å.
Element x y z (fractional)
Li 0.0542 0.0542 0.3908  3 Cd 2.74-3.01, 3 Li 2.79-2.95
Li 0.2687 0.2687 0.4326  6 Li 2.89-3.21, 3 Cd 2.92-2.98
Li 0.4319 0.4319 0.3318  4 Li 2.79-3.08, 3 Cd 2.81-2.93
Li 0.5681 0.5681 0.6682  4 Li 2.79-3.08, 3 Cd 2.81-2.93
Li 0.7313 0.7313 0.5674  6 Li 2.89-3.21, 3 Cd 2.92-2.98
Li 0.9458 0.9458 0.6092  3 Cd 2.74-3.01, 3 Li 2.79-2.95
Ac 0.1365 0.1365 0.0114  7 Cd 3.46-3.61, 5 Li 3.47-3.82
Ac 0.8635 0.8635 0.9886  7 Cd 3.46-3.61, 5 Li 3.47-3.82
Cd 0.1892 0.1892 0.7120  5 Li 2.74-2.98
Cd 0.4183 0.4183 0.7742  4 Li 2.92-3.01, 1 Cd 3.08
Cd 0.5817 0.5817 0.2258  4 Li 2.92-3.01, 1 Cd 3.08
Cd 0.8108 0.8108 0.2880  5 Li 2.74-2.98

Results
The uncorrected energy comes out at -25.6 eV for the cell shown.

***

Entry 3:
A plane-wave DFT calculation with PBE was carried out for a relaxed structure of CaLa6Dy5.

a = 8.1674 Å, b = 8.1674 Å, c = 6.3634 Å
α = 97.53°, β = 97.53°, γ = 85.20°
Last column: nearest neighbours and their distance in Å.
Element x y z (fractional)
Ca 0.0000 0.0000 0.0000  6 La 3.70, 6 Dy 3.70-3.73
La 0.0818 0.4244 0.2514  5 Dy 3.56-3.67, 6 La 3.62-3.79, 1 Ca 3.70
La 0.2522 0.2522 0.7418  5 Dy 3.59-3.67, 6 La 3.64-3.75, 1 Ca 3.70
La 0.4244 0.0818 0.2514  5 Dy 3.56-3.67, 6 La 3.62-3.79, 1 Ca 3.70
La 0.5756 0.9182 0.7486  5 Dy 3.56-3.67, 6 La 3.62-3.79, 1 Ca 3.70
La 0.7478 0.7478 0.2582  5 Dy 3.59-3.67, 6 La 3.64-3.75, 1 Ca 3.70
La 0.9182 0.5756 0.7486  5 Dy 3.56-3.67, 6 La 3.62-3.79, 1 Ca 3.70
Dy 0.1716 0.8284 0.5000  6 La 3.56-3.67, 4 Dy 3.63-3.79, 2 Ca 3.70
Dy 0.3373 0.6627 0.0000  5 Dy 3.60-3.67, 6 La 3.62-3.67, 1 Ca 3.73
Dy 0.5000 0.5000 0.5000  6 La 3.59-3.64, 6 Dy 3.63-3.66
Dy 0.6627 0.3373 0.0000  5 Dy 3.60-3.67, 6 La 3.62-3.67, 1 Ca 3.73
Dy 0.8284 0.1716 0.5000  6 La 3.56-3.67, 4 Dy 3.63-3.79, 2 Ca 3.70

Results
The uncorrected energy comes out at -54.2 eV for the cell shown.

***

| no. | size of the total moment (μB/atom) |
| --- | --- |
| 1 | 0.000 |
| 2 | 0.000 |
| 3 | 0.000 |